1.
Entry from Alexandria: crystalline ZnNi2Te at its relaxed geometry (PBE).

abc: 3.4354 3.4567 5.1551
angles: 90.00 90.00 90.00
Last column: nearest neighbours and their distance in Å.
Space group Pmm2 (No. 25)
Unique sites:
Zn (0.0000, 0.0000, 0.0000) x1  5 Ni 2.39-2.57
Ni (0.0000, 0.0000, 0.4644) x1  1 Zn 2.39, 4 Te 2.61
Ni (0.5000, 0.5000, 0.1605) x1  2 Te 2.51-2.65, 4 Zn 2.57
Te (0.5000, 0.5000, 0.6471) x1  6 Ni 2.51-2.65

## Properties
M_tot: 0.000 μB/atom
calculated volume: 15.3 Å³/atom
final energy: -3.9922 eV/atom
polymorph energy (0 for the lowest one): 8 meV per atom

2.
Entry from Alexandria: crystalline Sr2AsPdPt at its relaxed geometry (PBE).

abc: 5.6141 5.6141 4.9059
angles: 90.00 90.00 90.00
Last column: nearest neighbours and their distance in Å.
Space group P4/mmm (No. 123)
Unique sites:
Sr (0.0000, 0.5000, 0.0000) x2  2 Pd 2.81
As (0.0000, 0.0000, 0.5000) x1  8 Sr 3.73, 4 Pt 3.97
Pd (0.5000, 0.5000, 0.0000) x1  2 Pt 2.45
Pt (0.5000, 0.5000, 0.5000) x1  2 Pd 2.45

## Properties
M_tot: 0.001 μB/atom
calculated volume: 30.9 Å³/atom
E_form: -0.115 eV per atom
final energy: -3.9644 eV/atom
polymorph energy (0 for the lowest one): 232 meV per atom

3.
Entry from Alexandria: crystalline Ga3Tc at its relaxed geometry (PBE).

abc: 3.9245 3.9245 3.9245
angles: 90.00 90.00 90.00
Last column: nearest neighbours and their distance in Å.
Space group Pm-3m (No. 221)
Unique sites:
Ga (0.0000, 0.0000, 0.5000) x3  4 Tc 2.78, 8 Ga 2.78
Tc (0.5000, 0.5000, 0.5000) x1  12 Ga 2.78

## Properties
M_tot: 0.000 μB/atom
calculated volume: 15.1 Å³/atom
E_form: 0.114 eV per atom
final energy: -4.7478 eV/atom
polymorph energy (0 for the lowest one): 318 meV per atom

4.
Entry from Alexandria: crystalline Li3CoIr at its relaxed geometry (PBE).

abc: 4.1548 4.1548 4.1548
angles: 90.00 90.00 90.00
Last column: nearest neighbours and their distance in Å.
Space group Pm-3m (No. 221)
Unique sites:
Li (0.0000, 0.0000, 0.5000) x3  2 Co 2.08
Co (0.0000, 0.0000, 0.0000) x1  6 Li 2.08
Ir (0.5000, 0.5000, 0.5000) x1  12 Li 2.94

## Properties
M_tot: 0.410 μB/atom
calculated volume: 14.3 Å³/atom
E_form: 1.031 eV per atom
final energy: -3.3108 eV/atom

5.
Entry from Alexandria: crystalline Nd7Sm2Dy at its relaxed geometry (PBE).

abc: 8.7978 16.9960 5.5356
angles: 90.00 90.00 90.00
Last column: nearest neighbours and their distance in Å.
Space group Cmmm (No. 65)
Unique sites:
Nd (0.0000, 0.0000, 0.0000) x2  4 Nd 3.38, 2 Sm 3.49
Nd (0.0000, 0.2874, 0.5000) x4  2 Sm 3.10
Nd (0.1801, 0.3896, 0.0000) x8  2 Nd 3.17-3.38, 2 Sm 3.24-3.51
Sm (0.0000, 0.2052, 0.0000) x4  4 Nd 3.10-3.24
Dy (0.0000, 0.5000, 0.5000) x2  10 Nd 3.61-3.70

## Properties
M_tot: 0.000 μB/atom
calculated volume: 41.4 Å³/atom
E_form: 0.627 eV per atom
final energy: -4.1141 eV/atom

6.
Entry from Alexandria: crystalline CePmSmPb at its relaxed geometry (PBE).

abc: 7.8223 7.8223 7.8223
angles: 90.00 90.00 90.00
Last column: nearest neighbours and their distance in Å.
Space group F-43m (No. 216)
Unique sites:
Ce (0.0000, 0.0000, 0.0000) x4  4 Pm 3.39, 4 Sm 3.39
Pm (0.2500, 0.2500, 0.2500) x4  4 Pb 3.39, 4 Ce 3.39
Sm (0.2500, 0.2500, 0.7500) x4  4 Pb 3.39, 4 Ce 3.39
Pb (0.0000, 0.0000, 0.5000) x4  4 Pm 3.39, 4 Sm 3.39

## Properties
M_tot: 0.142 μB/atom
calculated volume: 29.9 Å³/atom
E_form: -0.090 eV per atom
final energy: -4.8684 eV/atom

7.
Entry from Alexandria: crystalline Ho3TmPd2 at its relaxed geometry (PBE).

abc: 3.7370 9.7061 8.4618
angles: 90.00 90.00 90.00
Last column: nearest neighbours and their distance in Å.
Space group Pmc2_1 (No. 26)
Unique sites:
Ho (0.0000, 0.0662, 0.0000) x2  4 Pd 2.98-2.99
Ho (0.0000, 0.2851, 0.3397) x2  3 Pd 2.84-2.88
Ho (0.5000, 0.2166, 0.6807) x2  3 Pd 2.84-2.91
Tm (0.5000, 0.4352, 0.0199) x2  4 Pd 2.97-2.99
Pd (0.0000, 0.4288, 0.7476) x2  3 Ho 2.84-2.88, 4 Tm 2.97-2.99
Pd (0.5000, 0.0723, 0.2736) x2  7 Ho 2.84-2.99

## Properties
M_tot: 0.001 μB/atom
calculated volume: 25.6 Å³/atom
E_form: -0.612 eV per atom
final energy: -5.3773 eV/atom
polymorph energy (0 for the lowest one): 0 meV per atom

8.
Entry from Alexandria: crystalline Er6TeC3Se2 at its relaxed geometry (PBE).

abc: 17.1883 3.7528 7.9478
angles: 90.00 107.83 90.00
Last column: nearest neighbours and their distance in Å.
Space group C2/m (No. 12)
Unique sites:
Er (0.0127, 0.0000, 0.2138) x4  3 C 2.50-2.54
Er (0.1575, 0.5000, 0.1097) x4  3 C 2.54-2.58
Er (0.1811, 0.5000, 0.5571) x4  3 C 2.47-2.56
Te (0.0000, 0.5000, 0.5000) x2  6 Er 3.01
C (0.0000, 0.5000, 0.0000) x2  6 Er 2.50-2.58
C (0.1680, 0.0000, 0.3307) x4  6 Er 2.47-2.56
Se (0.1665, 0.0000, 0.8330) x4  6 Er 2.92-2.99

## Properties
M_tot: 0.000 μB/atom
calculated volume: 20.3 Å³/atom
final energy: -6.4975 eV/atom